SrFeCo2O | GGA+U | optimized geometry

abc: 4.2977 4.2977 6.5137
angles: 90.00 90.00 90.00
With the nearest neighbours (Å) after each atom.
Space group P4/mmm (No. 123)
Symmetry-distinct sites (fractional):
Sr1 0.0000 0.0000 0.0000  4 O 3.04, 2 Fe 3.26
Fe1 0.0000 0.0000 0.5000  4 Co 2.15
Co1 0.0000 0.5000 0.5000  2 Fe 2.15
O1 0.5000 0.5000 0.0000  4 Sr 3.04

Computed properties:
**Calculated volume**: 120 Å³/cell
**Raw total energy**: -18.15 eV/cell